(1)
## BeAsHSe2 (PBE)

Data for a relaxed BeAsHSe2 crystal.

```
BeAsHSe2
1.0
4.653 0.000 0.000
0.000 4.653 0.000
0.000 0.000 4.400
Be As H Se
1 1 1 2
Cartesian
0.000 0.000 0.000
0.000 0.000 2.200
2.327 2.327 2.200
0.000 2.327 0.000
2.327 0.000 0.000
```

Calculated values
**Energy relative to the lowest polymorph listed for this composition**: 6.7 kJ per mole of atoms
**Calculated density**: 4.234 g/cm³

(2)
## BeAs2HSe (PBE)

Data for a relaxed BeAs2HSe crystal.

```
BeAs2HSe
1.0
4.465 0.000 0.000
0.000 4.465 0.000
0.000 0.000 4.595
Be As H Se
1 2 1 1
Cartesian
0.000 0.000 0.000
0.000 2.232 0.000
2.232 0.000 0.000
2.232 2.232 2.298
0.000 0.000 2.298
```

Calculated values
**Energy relative to the lowest polymorph listed for this composition**: 16.3 kJ per mole of atoms
**Calculated density**: 4.329 g/cm³

Number 1: M_tot 1.09 μB/cell. Number 2: M_tot 0.72 μB/cell.